[1]
This record from Alexandria via LeMat-Bulk describes an optimized crystal structure of CuNi4W. The functional is GGA-PBE.

It has space group F-43m (No. 216), with a = 6.575 Å, b = 6.575 Å, c = 6.575 Å, α = 90.00°, β = 90.00° and γ = 90.00°. The inequivalent atoms are Cu at (0.000, 0.000, 0.000), Ni at (0.125, 0.125, 0.375) and W at (0.250, 0.250, 0.750).

As for the magnetization: 0.00 μB per formula unit. The formation energy comes out at 0.0587 eV per atom.

---

[2]
This record from Alexandria via LeMat-Bulk describes an optimized crystal structure of Cs12Na6Au. The functional is GGA-PBE.

It has space group R-3 (No. 148, hexagonal axes), with a = 16.2010 Å, b = 16.2010 Å, c = 20.5264 Å, α = 90.00°, β = 90.00° and γ = 120.00°. The inequivalent atoms are Cs at (0.0809, 0.8834, 0.3903), Cs at (0.1046, 0.2177, 0.1074), Na at (0.0465, 0.5362, 0.4176) and Au at (0.0000, 0.0000, 0.5000).

As for the magnetization: 0.00 μB per formula unit. The formation energy comes out at 0.0060 eV per atom.

---

[3]
This record from Alexandria via LeMat-Bulk describes an optimized crystal structure of Ba2TlW. The functional is GGA-PBE.

It has space group I-42d (No. 122), with a = 11.929 Å, b = 11.929 Å, c = 5.467 Å, α = 90.00°, β = 90.00° and γ = 90.00°. The inequivalent atoms are Ba at (0.013, 0.250, 0.125), Tl at (0.000, 0.000, 0.500) and W at (0.000, 0.000, 0.000).

As for the magnetization: 0.00 μB per formula unit. The formation energy comes out at 0.9041 eV per atom.

---

[4]
This record from Alexandria via LeMat-Bulk describes an optimized crystal structure of ZrSbMo2. The functional is GGA-PBE.

It has space group Pm (No. 6), with a = 3.167 Å, b = 4.582 Å, c = 5.375 Å, α = 90.00°, β = 102.83° and γ = 90.00°. The inequivalent atoms are Zr at (0.000, 0.000, 0.000), Sb at (0.407, 0.500, 0.758), Mo at (0.470, 0.000, 0.468) and Mo at (0.735, 0.500, 0.293).

The calculation puts the total energy at -8.54 eV/atom. As for the magnetization: 0.00 μB per formula unit.

---

[5]
This record from Alexandria via LeMat-Bulk describes an optimized crystal structure of SrCa5Pd6. The functional is GGA-PBE.

It has space group Immm (No. 71), with a = 5.038 Å, b = 7.172 Å, c = 15.074 Å, α = 90.00°, β = 90.00° and γ = 90.00°. The inequivalent atoms are Sr at (0.000, 0.000, 0.000), Ca at (0.000, 0.000, 0.332), Ca at (0.000, 0.500, 0.000), Ca at (0.000, 0.500, 0.334), Pd at (0.000, 0.232, 0.500) and Pd at (0.000, 0.259, 0.171).

As for the magnetization: 0.00 μB per formula unit. The formation energy comes out at -0.6422 eV per atom.